(1)
# BaSb2TeN, relaxed, DFT PBE-GGA
data_BaSb2TeN
_chemical_formula_sum 'Ba1 Sb2 Te1 N1'
_cell_length_a 6.4703
_cell_length_b 6.4703
_cell_length_c 6.3416
_cell_angle_alpha 90.00
_cell_angle_beta 90.00
_cell_angle_gamma 90.00
_space_group_name_H-M_alt 'P 4/m m m'
_space_group_IT_number 123
_space_group_name_Hall '-P 4 2'
loop_
_atom_site_label
_atom_site_fract_x
_atom_site_fract_y
_atom_site_fract_z
Ba1 0.0000 0.0000 0.0000
Sb1 0.0000 0.5000 0.0000
Te1 0.0000 0.0000 0.5000
N1 0.5000 0.5000 0.5000
# magnetic moment	0.5	μB per formula unit
# ρ	3.27	Mg/m³
# energy above the lowest structure with this stoichiometry	195.2	kJ per mole of atoms



(2)
# CrBTeAuI, relaxed, DFT PBE-GGA
data_CrBTeAuI
_chemical_formula_sum 'Cr1 B1 Te1 Au1 I1'
_cell_length_a 5.5154
_cell_length_b 4.1620
_cell_length_c 6.3128
_cell_angle_alpha 90.00
_cell_angle_beta 90.24
_cell_angle_gamma 90.00
_space_group_name_H-M_alt 'P 1 m 1'
_space_group_IT_number 6
_space_group_name_Hall 'P -2y'
loop_
_atom_site_label
_atom_site_fract_x
_atom_site_fract_y
_atom_site_fract_z
Cr1 0.0000 0.0000 0.0000
B1 0.8406 0.0000 0.7164
Te1 0.1673 0.5000 0.7892
Au1 0.5129 0.0000 0.8893
I1 0.7429 0.0000 0.3756
# magnetic moment	3.1	μB per formula unit
# ρ	5.89	Mg/m³
# energy above the lowest structure with this stoichiometry	24.4	kJ per mole of atoms



(3)
# Te2PtBr2, relaxed, DFT PBE-GGA
data_Te2PtBr2
_chemical_formula_sum 'Te8 Pt4 Br8'
_cell_length_a 5.8326
_cell_length_b 18.4459
_cell_length_c 7.9056
_cell_angle_alpha 90.00
_cell_angle_beta 90.00
_cell_angle_gamma 90.00
_space_group_name_H-M_alt 'I b a m'
_space_group_IT_number 72
_space_group_name_Hall '-I 2 2c'
loop_
_atom_site_label
_atom_site_fract_x
_atom_site_fract_y
_atom_site_fract_z
Te1 0.0746 0.0893 0.0000
Pt1 0.0000 0.0000 0.2500
Br1 0.2423 0.3196 0.0000
# magnetic moment	0.0	μB per formula unit
# ρ	4.76	Mg/m³
# E	-0.249	Ry per atom



(4)
# Rb3AcTh2Te6, relaxed, DFT PBE-GGA
data_Rb3AcTh2Te6
_chemical_formula_sum 'Rb6 Ac2 Th4 Te12'
_cell_length_a 8.0127
_cell_length_b 13.8794
_cell_length_c 9.1284
_cell_angle_alpha 90.00
_cell_angle_beta 107.06
_cell_angle_gamma 90.00
_space_group_name_H-M_alt 'C 1 2/m 1'
_space_group_IT_number 12
_space_group_name_Hall '-C 2y'
loop_
_atom_site_label
_atom_site_fract_x
_atom_site_fract_y
_atom_site_fract_z
Rb1 0.0000 0.0000 0.0000
Rb2 0.0000 0.3375 0.0000
Ac1 0.0000 0.5000 0.5000
Th1 0.0000 0.1672 0.5000
Te1 0.2216 0.0000 0.7105
Te2 0.2452 0.3258 0.7119
# magnetic moment	0.0	μB per formula unit
# ρ	5.86	Mg/m³
# E	-0.342	Ry per atom



(5)
# Tb6Nd2MgSc3, relaxed, DFT PBE-GGA
data_Tb6Nd2MgSc3
_chemical_formula_sum 'Tb12 Nd4 Mg2 Sc6'
_cell_length_a 6.0410
_cell_length_b 10.4710
_cell_length_c 11.4557
_cell_angle_alpha 90.00
_cell_angle_beta 100.19
_cell_angle_gamma 90.00
_space_group_name_H-M_alt 'C 1 2/m 1'
_space_group_IT_number 12
_space_group_name_Hall '-C 2y'
loop_
_atom_site_label
_atom_site_fract_x
_atom_site_fract_y
_atom_site_fract_z
Tb1 0.2453 0.0000 0.2391
Tb2 0.2475 0.3341 0.2390
Nd1 0.0000 0.3332 0.5000
Mg1 0.0000 0.0000 0.5000
Sc1 0.0000 0.1651 0.0000
Sc2 0.0000 0.5000 0.0000
# magnetic moment	0.0	μB per formula unit
# DFT formation energy	39	meV/atom
# ρ	6.52	Mg/m³



(6)
# YIn2Pb2, relaxed, DFT PBE-GGA
data_YIn2Pb2
_chemical_formula_sum 'Y2 In4 Pb4'
_cell_length_a 4.5168
_cell_length_b 4.5168
_cell_length_c 15.1576
_cell_angle_alpha 90.00
_cell_angle_beta 90.00
_cell_angle_gamma 90.00
_space_group_name_H-M_alt 'I 4/m m m'
_space_group_IT_number 139
_space_group_name_Hall '-I 4 2'
loop_
_atom_site_label
_atom_site_fract_x
_atom_site_fract_y
_atom_site_fract_z
Y1 0.0000 0.0000 0.0000
In1 0.0000 0.0000 0.4069
Pb1 0.0000 0.5000 0.2500
# magnetic moment	0.0	μB per formula unit
# DFT formation energy	8	meV/atom
# ρ	7.87	Mg/m³
# energy above the lowest structure with this stoichiometry	9.8	kJ per mole of atoms



(7)
# LiTb3Pt3, relaxed, DFT PBE-GGA
data_LiTb3Pt3
_chemical_formula_sum 'Li4 Tb12 Pt12'
_cell_length_a 9.6144
_cell_length_b 9.7025
_cell_length_c 6.7426
_cell_angle_alpha 90.00
_cell_angle_beta 90.00
_cell_angle_gamma 90.00
_space_group_name_H-M_alt 'C m m m'
_space_group_IT_number 65
_space_group_name_Hall '-C 2 2'
loop_
_atom_site_label
_atom_site_fract_x
_atom_site_fract_y
_atom_site_fract_z
Li1 0.0000 0.2268 0.0000
Tb1 0.0000 0.2510 0.5000
Tb2 0.2390 0.5000 0.0000
Tb3 0.2415 0.0000 0.5000
Pt1 0.0000 0.0000 0.2413
Pt2 0.2500 0.2500 0.2437
# magnetic moment	0.0	μB per formula unit
# DFT formation energy	-900	meV/atom
# ρ	11.29	Mg/m³



(8)
# HfOsO2, relaxed, DFT PBE-GGA
data_HfOsO2
_chemical_formula_sum 'Hf3 Os3 O6'
_cell_length_a 2.9982
_cell_length_b 2.9982
_cell_length_c 19.6308
_cell_angle_alpha 90.00
_cell_angle_beta 90.00
_cell_angle_gamma 120.00
_space_group_name_H-M_alt 'R -3 m'
_space_group_IT_number 166
_space_group_name_Hall '-R 3 2"'
loop_
_atom_site_label
_atom_site_fract_x
_atom_site_fract_y
_atom_site_fract_z
Hf1 0.0000 0.0000 0.0000
Os1 0.0000 0.0000 0.5000
O1 0.0000 0.0000 0.3948
# magnetic moment	0.7	μB per formula unit
# ρ	13.06	Mg/m³
# energy above the lowest structure with this stoichiometry	0.0	kJ per mole of atoms



(9)
# Ce3PuTl, relaxed, DFT PBE-GGA
data_Ce3PuTl
_chemical_formula_sum 'Ce12 Pu4 Tl4'
_cell_length_a 6.0658
_cell_length_b 13.7353
_cell_length_c 6.4476
_cell_angle_alpha 90.00
_cell_angle_beta 90.00
_cell_angle_gamma 90.00
_space_group_name_H-M_alt 'P n m a'
_space_group_IT_number 62
_space_group_name_Hall '-P 2ac 2n'
loop_
_atom_site_label
_atom_site_fract_x
_atom_site_fract_y
_atom_site_fract_z
Ce1 0.0006 0.1221 0.0732
Ce2 0.0008 0.2500 0.5668
Pu1 0.2493 0.7500 0.7498
Tl1 0.0000 0.0000 0.5000
# magnetic moment	0.0	μB per formula unit
# DFT formation energy	69	meV/atom
# ρ	10.74	Mg/m³
# energy above the lowest structure with this stoichiometry	13.9	kJ per mole of atoms



(10)
# V6FeCo, relaxed, DFT PBE-GGA
data_V6FeCo
_chemical_formula_sum 'V12 Fe2 Co2'
_cell_length_a 4.1377
_cell_length_b 4.1377
_cell_length_c 11.7072
_cell_angle_alpha 90.00
_cell_angle_beta 90.00
_cell_angle_gamma 90.00
_space_group_name_H-M_alt 'I 4/m m m'
_space_group_IT_number 139
_space_group_name_Hall '-I 4 2'
loop_
_atom_site_label
_atom_site_fract_x
_atom_site_fract_y
_atom_site_fract_z
V1 0.0000 0.0000 0.2497
V2 0.0000 0.5000 0.1236
Fe1 0.0000 0.0000 0.0000
Co1 0.0000 0.0000 0.5000
# magnetic moment	0.5	μB per formula unit
# DFT formation energy	-120	meV/atom
# ρ	6.97	Mg/m³
# energy above the lowest structure with this stoichiometry	6.5	kJ per mole of atoms



(11)
# KNiMo3, relaxed, DFT PBE-GGA
data_KNiMo3
_chemical_formula_sum 'K1 Ni1 Mo3'
_cell_length_a 4.4264
_cell_length_b 4.4264
_cell_length_c 4.4264
_cell_angle_alpha 90.00
_cell_angle_beta 90.00
_cell_angle_gamma 90.00
_space_group_name_H-M_alt 'P m -3 m'
_space_group_IT_number 221
_space_group_name_Hall '-P 4 2 3'
loop_
_atom_site_label
_atom_site_fract_x
_atom_site_fract_y
_atom_site_fract_z
K1 0.0000 0.0000 0.0000
Ni1 0.5000 0.5000 0.5000
Mo1 0.0000 0.0000 0.5000
# magnetic moment	0.0	μB per formula unit
# DFT formation energy	3164	meV/atom
# ρ	7.38	Mg/m³
# energy above the lowest structure with this stoichiometry	131.6	kJ per mole of atoms



(12)
# TcRhS2N, relaxed, DFT PBE-GGA
data_TcRhS2N
_chemical_formula_sum 'Tc1 Rh1 S2 N1'
_cell_length_a 4.8592
_cell_length_b 4.8592
_cell_length_c 3.6248
_cell_angle_alpha 90.00
_cell_angle_beta 90.00
_cell_angle_gamma 90.00
_space_group_name_H-M_alt 'P 4/m m m'
_space_group_IT_number 123
_space_group_name_Hall '-P 4 2'
loop_
_atom_site_label
_atom_site_fract_x
_atom_site_fract_y
_atom_site_fract_z
Tc1 0.0000 0.0000 0.0000
Rh1 0.5000 0.5000 0.5000
S1 0.0000 0.5000 0.5000
N1 0.5000 0.5000 0.0000
# magnetic moment	4.2	μB per formula unit
# ρ	5.41	Mg/m³
# energy above the lowest structure with this stoichiometry	25.9	kJ per mole of atoms



(13)
# CaCoRe2, relaxed, DFT PBE-GGA
data_CaCoRe2
_chemical_formula_sum 'Ca2 Co2 Re4'
_cell_length_a 3.1270
_cell_length_b 4.8581
_cell_length_c 8.8348
_cell_angle_alpha 90.00
_cell_angle_beta 90.00
_cell_angle_gamma 90.00
_space_group_name_H-M_alt 'I m m 2'
_space_group_IT_number 44
_space_group_name_Hall 'I 2 -2'
loop_
_atom_site_label
_atom_site_fract_x
_atom_site_fract_y
_atom_site_fract_z
Ca1 0.0000 0.0000 0.0000
Co1 0.0000 0.5000 0.2279
Re1 0.0000 0.0000 0.5079
Re2 0.0000 0.5000 0.7895
# magnetic moment	0.9	μB per formula unit
# DFT formation energy	687	meV/atom
# ρ	11.67	Mg/m³
# energy above the lowest structure with this stoichiometry	33.2	kJ per mole of atoms



(14)
# La2BeSbPd6, relaxed, DFT PBE-GGA
data_La2BeSbPd6
_chemical_formula_sum 'La4 Be2 Sb2 Pd12'
_cell_length_a 10.3149
_cell_length_b 5.9629
_cell_length_c 7.4484
_cell_angle_alpha 90.00
_cell_angle_beta 117.35
_cell_angle_gamma 90.00
_space_group_name_H-M_alt 'C 1 2/m 1'
_space_group_IT_number 12
_space_group_name_Hall '-C 2y'
loop_
_atom_site_label
_atom_site_fract_x
_atom_site_fract_y
_atom_site_fract_z
La1 0.2386 0.0000 0.2140
Be1 0.0000 0.0000 0.5000
Sb1 0.0000 0.5000 0.0000
Pd1 0.0280 0.2608 0.3209
Pd2 0.2333 0.0000 0.6819
# magnetic moment	0.0	μB per formula unit
# ρ	8.55	Mg/m³
# E	-0.410	Ry per atom



(15)
# TiCr3Cu, relaxed, DFT PBE-GGA
data_TiCr3Cu
_chemical_formula_sum 'Ti1 Cr3 Cu1'
_cell_length_a 4.2471
_cell_length_b 4.2471
_cell_length_c 4.2471
_cell_angle_alpha 90.00
_cell_angle_beta 90.00
_cell_angle_gamma 90.00
_space_group_name_H-M_alt 'P m -3 m'
_space_group_IT_number 221
_space_group_name_Hall '-P 4 2 3'
loop_
_atom_site_label
_atom_site_fract_x
_atom_site_fract_y
_atom_site_fract_z
Ti1 0.0000 0.0000 0.0000
Cr1 0.0000 0.0000 0.5000
Cu1 0.5000 0.5000 0.5000
# magnetic moment	0.0	μB per formula unit
# DFT formation energy	1615	meV/atom
# ρ	5.80	Mg/m³
# energy above the lowest structure with this stoichiometry	9.8	kJ per mole of atoms



(16)
# YbBiRh2, relaxed, DFT PBE-GGA
data_YbBiRh2
_chemical_formula_sum 'Yb4 Bi4 Rh8'
_cell_length_a 6.6796
_cell_length_b 6.6796
_cell_length_c 6.6796
_cell_angle_alpha 90.00
_cell_angle_beta 90.00
_cell_angle_gamma 90.00
_space_group_name_H-M_alt 'F m -3 m'
_space_group_IT_number 225
_space_group_name_Hall '-F 4 2 3'
loop_
_atom_site_label
_atom_site_fract_x
_atom_site_fract_y
_atom_site_fract_z
Yb1 0.0000 0.0000 0.0000
Bi1 0.0000 0.0000 0.5000
Rh1 0.2500 0.2500 0.2500
# magnetic moment	0.0	μB per formula unit
# DFT formation energy	-489	meV/atom
# ρ	13.10	Mg/m³



(17)
# Pm2NiGe, relaxed, DFT PBE-GGA
data_Pm2NiGe
_chemical_formula_sum 'Pm4 Ni2 Ge2'
_cell_length_a 4.4764
_cell_length_b 4.4920
_cell_length_c 9.6520
_cell_angle_alpha 90.00
_cell_angle_beta 90.00
_cell_angle_gamma 90.00
_space_group_name_H-M_alt 'I m m m'
_space_group_IT_number 71
_space_group_name_Hall '-I 2 2'
loop_
_atom_site_label
_atom_site_fract_x
_atom_site_fract_y
_atom_site_fract_z
Pm1 0.0000 0.0000 0.1732
Ni1 0.0000 0.5000 0.0000
Ge1 0.0000 0.0000 0.5000
# magnetic moment	0.0	μB per formula unit
# DFT formation energy	-329	meV/atom
# ρ	7.21	Mg/m³



(18)
# TbPrNdMg, relaxed, DFT PBE-GGA
data_TbPrNdMg
_chemical_formula_sum 'Tb4 Pr4 Nd4 Mg4'
_cell_length_a 7.9716
_cell_length_b 7.9716
_cell_length_c 7.9716
_cell_angle_alpha 90.00
_cell_angle_beta 90.00
_cell_angle_gamma 90.00
_space_group_name_H-M_alt 'F -4 3 m'
_space_group_IT_number 216
_space_group_name_Hall 'F -4 2 3'
loop_
_atom_site_label
_atom_site_fract_x
_atom_site_fract_y
_atom_site_fract_z
Tb1 0.0000 0.0000 0.0000
Pr1 0.2500 0.2500 0.2500
Nd1 0.2500 0.2500 0.7500
Mg1 0.0000 0.0000 0.5000
# magnetic moment	0.0	μB per formula unit
# DFT formation energy	26	meV/atom
# ρ	6.14	Mg/m³
# energy above the lowest structure with this stoichiometry	5.9	kJ per mole of atoms



(19)
# PrLuZnCu, relaxed, DFT PBE-GGA
data_PrLuZnCu
_chemical_formula_sum 'Pr4 Lu4 Zn4 Cu4'
_cell_length_a 7.1239
_cell_length_b 7.1239
_cell_length_c 7.1239
_cell_angle_alpha 90.00
_cell_angle_beta 90.00
_cell_angle_gamma 90.00
_space_group_name_H-M_alt 'F -4 3 m'
_space_group_IT_number 216
_space_group_name_Hall 'F -4 2 3'
loop_
_atom_site_label
_atom_site_fract_x
_atom_site_fract_y
_atom_site_fract_z
Pr1 0.0000 0.0000 0.0000
Lu1 0.0000 0.0000 0.5000
Zn1 0.2500 0.2500 0.2500
Cu1 0.2500 0.2500 0.7500
# magnetic moment	0.0	μB per formula unit
# DFT formation energy	-242	meV/atom
# ρ	8.17	Mg/m³



(20)
# Li2MoW, relaxed, DFT PBE-GGA
data_Li2MoW
_chemical_formula_sum 'Li2 Mo1 W1'
_cell_length_a 3.2288
_cell_length_b 3.2288
_cell_length_c 6.3059
_cell_angle_alpha 90.00
_cell_angle_beta 90.00
_cell_angle_gamma 90.00
_space_group_name_H-M_alt 'P 4 m m'
_space_group_IT_number 99
_space_group_name_Hall 'P 4 -2'
loop_
_atom_site_label
_atom_site_fract_x
_atom_site_fract_y
_atom_site_fract_z
Li1 0.0000 0.0000 0.0000
Li2 0.5000 0.5000 0.2470
Mo1 0.0000 0.0000 0.5292
W1 0.5000 0.5000 0.7199
# magnetic moment	0.0	μB per formula unit
# DFT formation energy	457	meV/atom
# ρ	7.42	Mg/m³
# energy above the lowest structure with this stoichiometry	21.3	kJ per mole of atoms



(21)
# Al2RuCl, relaxed, DFT PBE-GGA
data_Al2RuCl
_chemical_formula_sum 'Al4 Ru2 Cl2'
_cell_length_a 17.2006
_cell_length_b 3.2879
_cell_length_c 3.1794
_cell_angle_alpha 90.00
_cell_angle_beta 98.66
_cell_angle_gamma 90.00
_space_group_name_H-M_alt 'C 1 m 1'
_space_group_IT_number 8
_space_group_name_Hall 'C -2y'
loop_
_atom_site_label
_atom_site_fract_x
_atom_site_fract_y
_atom_site_fract_z
Al1 0.0000 0.0000 0.0000
Al2 0.1630 0.5000 0.1330
Ru1 0.1100 0.0000 0.5898
Cl1 0.4021 0.0000 0.9202
# magnetic moment	0.0	μB per formula unit
# ρ	3.56	Mg/m³
# energy above the lowest structure with this stoichiometry	9.0	kJ per mole of atoms



(22)
# TaH3Cl6, relaxed, DFT PBE-GGA
data_TaH3Cl6
_chemical_formula_sum 'Ta6 H18 Cl36'
_cell_length_a 11.6692
_cell_length_b 11.6692
_cell_length_c 14.0051
_cell_angle_alpha 90.00
_cell_angle_beta 90.00
_cell_angle_gamma 120.00
_space_group_name_H-M_alt 'R -3 m'
_space_group_IT_number 166
_space_group_name_Hall '-R 3 2"'
loop_
_atom_site_label
_atom_site_fract_x
_atom_site_fract_y
_atom_site_fract_z
Ta1 0.0000 0.0000 0.0000
Ta2 0.0000 0.0000 0.5000
H1 0.0616 0.1232 0.1717
Cl1 0.0843 0.1687 0.8643
Cl2 0.0961 0.1922 0.5979
# magnetic moment	0.9	μB per formula unit
# ρ	2.39	Mg/m³
# E	-0.271	Ry per atom



(23)
# YZr2SnN, relaxed, DFT PBE-GGA
data_YZr2SnN
_chemical_formula_sum 'Y1 Zr2 Sn1 N1'
_cell_length_a 4.4833
_cell_length_b 4.4833
_cell_length_c 4.9394
_cell_angle_alpha 90.00
_cell_angle_beta 90.00
_cell_angle_gamma 90.00
_space_group_name_H-M_alt 'P 4/m m m'
_space_group_IT_number 123
_space_group_name_Hall '-P 4 2'
loop_
_atom_site_label
_atom_site_fract_x
_atom_site_fract_y
_atom_site_fract_z
Y1 0.0000 0.0000 0.0000
Zr1 0.0000 0.5000 0.5000
Sn1 0.5000 0.5000 0.0000
N1 0.0000 0.0000 0.5000
# magnetic moment	0.0	μB per formula unit
# ρ	6.76	Mg/m³
# E	-0.594	Ry per atom



(24)
# RbCaAgS2, relaxed, DFT PBE-GGA
data_RbCaAgS2
_chemical_formula_sum 'Rb4 Ca4 Ag4 S8'
_cell_length_a 7.2433
_cell_length_b 14.8541
_cell_length_c 5.7593
_cell_angle_alpha 90.00
_cell_angle_beta 90.00
_cell_angle_gamma 90.00
_space_group_name_H-M_alt 'C m m e'
_space_group_IT_number 67
_space_group_name_Hall '-C 2a 2'
loop_
_atom_site_label
_atom_site_fract_x
_atom_site_fract_y
_atom_site_fract_z
Rb1 0.0000 0.2500 0.2179
Ca1 0.2500 0.0000 0.5000
Ag1 0.0000 0.0000 0.0000
S1 0.0000 0.1132 0.7108
# magnetic moment	0.0	μB per formula unit
# ρ	3.19	Mg/m³
# E	-0.292	Ry per atom